Record 1
A plane-wave DFT calculation with PBE-GGA was carried out for Zr2CrBr after structural relaxation.

abc: 4.910 4.910 4.910
angles: 60.00 60.00 60.00
Fractional coordinates of all 4 atoms:
Zr 0.000 0.000 0.000
Zr 0.250 0.250 0.250
Cr 0.500 0.500 0.500
Br 0.750 0.750 0.750

Properties
Raw formation energy, eV/f.u.: 2.45
Energy above the lowest structure with this stoichiometry, meV/atom: 828.8
E_tot, eV/cell: -25.9


Record 2
A plane-wave DFT calculation with PBE-GGA was carried out for Te2PtRh after structural relaxation.

abc: 5.638 5.638 3.976
angles: 90.82 90.82 39.88
Fractional coordinates of all 4 atoms:
Te 0.000 0.000 0.000
Te 0.712 0.712 0.486
Pt 0.256 0.256 0.978
Rh 0.457 0.457 0.515

Properties
Raw formation energy, eV/f.u.: -0.60
Energy above the lowest structure with this stoichiometry, meV/atom: 104.0
E_tot, eV/cell: -20.3


Record 3
A plane-wave DFT calculation with PBE-GGA was carried out for ZrMnSi after structural relaxation.

abc: 3.012 3.012 6.420
angles: 90.00 90.00 120.00
Fractional coordinates of all 3 atoms:
Zr 0.000 0.000 0.000
Mn 0.667 0.333 0.362
Si 0.333 0.667 0.644

Properties
Raw formation energy, eV/f.u.: 0.20
E_tot, eV/cell: -22.9


| no. | D(E_F) (states/eV per cell) |
| --- | --- |
| 1 | 2.9 |
| 2 | 2.7 |
| 3 | 2.6 |